Computed, not measured: a geometry-optimized KPaPO6 structure at the PBE-GGA level of DFT.

```
9
Lattice="5.311 0.000 0.000 2.655 4.599 0.000 0.000 0.000 5.899" Properties=species:S:1:pos:R:3 pbc="T T T"
O 1.247 1.590 1.952
O 2.000 0.285 3.947
O 4.063 1.590 3.947
K 5.311 0.000 5.899
O 3.409 2.724 1.952
O 3.310 0.285 1.952
O 1.902 2.724 3.947
P 2.655 1.533 2.950
Pa 5.311 3.066 2.950
```

## Properties
Crystal system: trigonal
Space group: P312 (149)
Uncorrected formation energy: -2.278 eV per atom
Theoretical density: 4.58 g/cm3